VASP calculation (PBE-GGA) on an optimized crystal structure of Pr7Nd2Sm3.

abc: 6.0297 3.6693 19.4549
angles: 90.00 93.30 90.00
Atoms (fractional coordinates):
Pr 0.0000 0.0000 0.0000
Pr 0.1787 0.5000 0.1797
Pr 0.2576 0.5000 0.5360
Pr 0.3240 0.0000 0.8559
Pr 0.6760 0.0000 0.1441
Pr 0.7424 0.5000 0.4640
Pr 0.8213 0.5000 0.8203
Nd 0.2964 0.5000 0.7037
Nd 0.7036 0.5000 0.2963
Sm 0.2145 0.0000 0.3677
Sm 0.5000 0.5000 0.0000
Sm 0.7855 0.0000 0.6323

Output
As for the density: 6.669 Mg/m³. Its total DFT energy (no corrections) is -56.14 eV for the cell shown. The relative energy among the computed polymorphs is 0.019 eV per atom. The formation energy comes out at 98 kJ/mol of formula units. The density of states at the Fermi level is 1.464 states/eV/atom. The space-group type is No. 10. The value obtained for the total magnetic moment is 0.000 μB/atom.